DFT (PBE) results for crystalline Zn2RhPb at its relaxed geometry.

## Properties
energy of formation from the pure elements	0.00	eV per atom
energy	-3.399	eV per atom

a b c (Å): 4.758 4.758 4.644
angles (deg): 71.09 71.09 47.91
Sites, in units of the cell vectors:
Pb  0.493  0.493  0.506
Rh  0.731  0.731  0.838
Zn  0.009  0.009  0.968
Zn  0.267  0.267  0.188